Record 1
Below is a geometry-optimized HoAg2Cl5 structure, with properties calculated at the GGA-PBE level.

Results
raw formation energy = -10.6 eV/f.u.

Lattice parameters (Å, degrees): 5.3249 7.2870 7.3825 83.89 70.68 70.56
Closest atoms and distances in Å follow each position.
Space group P1 (No. 1)
Symmetry-distinct sites (fractional):
Ho 0.0000 0.0000 0.0000 [1 per cell]  6 Cl 2.63-2.66
Ag 0.5002 0.5005 0.9982 [1 per cell]  2 Cl 2.42
Ag 0.5014 0.9993 0.5000 [1 per cell]  2 Cl 2.41
Cl 0.0407 0.6804 0.2067 [1 per cell]  1 Ag 2.42, 1 Ho 2.63
Cl 0.2502 0.7852 0.6843 [1 per cell]  1 Ag 2.41, 1 Ho 2.64
Cl 0.5007 0.9994 0.9994 [1 per cell]  2 Ho 2.66
Cl 0.7512 0.2141 0.3157 [1 per cell]  1 Ag 2.41, 1 Ho 2.64
Cl 0.9610 0.3193 0.7927 [1 per cell]  1 Ag 2.42, 1 Ho 2.63



Record 2
Below is a geometry-optimized HoAg3Cl7 structure, with properties calculated at the GGA-PBE level.

Results
raw formation energy = -11.6 eV/f.u.

Lattice parameters (Å, degrees): 11.5181 8.3920 8.1366 90.00 130.27 90.00
Closest atoms and distances in Å follow each position.
Space group Cm (No. 8)
Symmetry-distinct sites (fractional):
Ho 0.0000 0.0000 0.0000 [2 per cell]  7 Cl 2.61-2.89
Ag 0.0021 0.2699 0.5610 [4 per cell]  5 Cl 2.56-2.78
Ag 0.4478 0.0000 0.0590 [2 per cell]  4 Cl 2.59-2.67
Cl 0.0115 0.2986 0.8861 [4 per cell]  2 Ag 2.59, 1 Ho 2.70
Cl 0.0993 0.0000 0.7525 [2 per cell]  2 Ag 2.56
Cl 0.2118 0.5000 0.6567 [2 per cell]  1 Ho 2.61, 2 Ag 2.78
Cl 0.2904 0.0000 0.3511 [2 per cell]  1 Ho 2.64, 2 Ag 2.69
Cl 0.4460 0.2861 0.2008 [4 per cell]  2 Ag 2.60-2.67, 1 Ho 2.76